# 1
The following is a DFT calculation (PBE) of a geometry-optimized SiAsIr2 structure.

Calculated values
Formation energy from raw total energies   -0.164 eV/atom
ΔE to the lowest computed polymorph   27 kJ/mol of formula units

Lattice parameters (Å, degrees): 2.867 3.330 13.388 90.00 90.00 90.00
Space group Imm2 (No. 44)
One atom of each set of equivalent atoms:
Si  0.000  0.000  0.000 (multiplicity 2)
As  0.000  0.500  0.747 (multiplicity 2)
Ir  0.000  0.000  0.578 (multiplicity 2)
Ir  0.000  0.500  0.350 (multiplicity 2)


# 2
The following is a DFT calculation (PBE) of a geometry-optimized SiAs2Ir structure.

Calculated values
Formation energy from raw total energies   -0.032 eV/atom

Lattice parameters (Å, degrees): 7.677 3.627 5.742 90.00 104.60 90.00
Space group Cm (No. 8)
One atom of each set of equivalent atoms:
Si  0.000  0.000  0.000 (multiplicity 2)
As  0.176  0.000  0.721 (multiplicity 2)
As  0.449  0.000  0.325 (multiplicity 2)
Ir  0.215  0.500  0.071 (multiplicity 2)